The following is a DFT calculation (PBE) of a relaxed structure of NaSr2USe6.

abc: 7.376 8.013 10.057
angles: 90.00 84.39 90.00
Sites, in units of the cell vectors:
Se  0.350  0.953  0.748
Se  0.657  0.286  0.576
Se  0.157  0.214  0.076
Se  0.343  0.714  0.424
Se  0.843  0.786  0.924
Se  0.150  0.453  0.752
Se  0.850  0.547  0.248
Se  0.705  0.321  0.942
Se  0.650  0.047  0.252
Se  0.295  0.679  0.058
Se  0.205  0.179  0.442
Se  0.795  0.821  0.558
Sr  0.538  0.598  0.768
Sr  0.962  0.098  0.732
Sr  0.038  0.902  0.268
Sr  0.462  0.402  0.232
U  0.000  0.500  0.000
U  0.500  0.000  0.500
Na  0.000  0.500  0.500
Na  0.500  0.000  0.000

Summary:
Volume   592 Å³/cell
SG   P2_1/c (14)



The following is a DFT calculation (PBE) of a relaxed structure of NaSr2USe4.

abc: 4.316 7.510 7.464
angles: 108.92 90.00 90.00
Site moments in Bohr magnetons follow the coordinates.
Sites, in units of the cell vectors:
Se  0.500  0.238  0.233  -0.04
Se  0.000  0.758  0.237  -0.02
Se  0.500  0.762  0.767  -0.04
Se  0.000  0.242  0.763  -0.02
Na  0.500  0.500  0.000  0.00
U  0.000  0.000  0.000  2.71
Sr  0.500  0.000  0.500  0.01
Sr  0.000  0.500  0.500  0.02

Summary:
Volume   229 Å³/cell
SG   P2/m (10)



The following is a DFT calculation (PBE) of a relaxed structure of NaSr2USe5.

abc: 5.320 7.617 8.794
angles: 115.66 107.61 90.00
Site moments in Bohr magnetons follow the coordinates.
Sites, in units of the cell vectors:
Sr  0.208  0.208  0.416  0.00
Sr  0.792  0.792  0.584  0.00
Se  0.000  0.000  0.000  -0.04
Se  0.365  0.108  0.730  -0.04
Se  0.365  0.622  0.730  -0.04
Se  0.635  0.892  0.270  -0.04
Se  0.635  0.378  0.270  -0.04
U  0.500  0.000  0.000  1.23
Na  0.000  0.500  0.000  0.00

Summary:
Volume   303 Å³/cell
SG   Immm (71)



The following is a DFT calculation (PBE) of a relaxed structure of Na2SrUSe4.

abc: 5.937 5.937 7.608
angles: 113.00 113.00 89.92
Site moments in Bohr magnetons follow the coordinates.
Sites, in units of the cell vectors:
Na  0.000  0.000  0.000  0.00
Na  0.250  0.750  0.500  0.00
Se  0.748  0.748  0.496  -0.05
Se  0.532  0.032  0.063  -0.05
Se  0.252  0.252  0.504  -0.05
Se  0.968  0.468  0.937  -0.05
Sr  0.500  0.500  0.000  0.00
U  0.750  0.250  0.500  2.17

Summary:
Volume   224 Å³/cell
SG   F222 (22)



The following is a DFT calculation (PBE) of a relaxed structure of NaSr4Y3Se8.

abc: 8.521 8.564 8.522
angles: 119.84 120.00 90.00
Sites, in units of the cell vectors:
Y  0.000  0.500  0.500
Y  0.500  0.500  0.500
Y  0.500  0.500  0.000
Sr  0.000  0.000  0.500
Sr  0.500  0.000  0.000
Sr  0.000  0.000  0.000
Sr  0.500  0.000  0.500
Se  0.247  0.732  0.494
Se  0.753  0.269  0.016
Se  0.263  0.269  0.016
Se  0.247  0.731  0.984
Se  0.737  0.731  0.984
Se  0.753  0.268  0.506
Se  0.744  0.731  0.488
Se  0.256  0.269  0.512
Na  0.000  0.500  0.000

Summary:
Volume   441 Å³/cell
SG   R-3m (166)



The following is a DFT calculation (PBE) of a relaxed structure of NaSrY2Se4.

abc: 4.169 7.484 7.189
angles: 71.28 90.00 90.00
Sites, in units of the cell vectors:
Sr  0.500  0.500  0.000
Na  0.000  0.500  0.500
Se  0.000  0.232  0.259
Se  0.500  0.769  0.246
Se  0.000  0.768  0.741
Se  0.500  0.231  0.754
Y  0.500  0.000  0.500
Y  0.000  0.000  0.000

Summary:
Volume   212 Å³/cell
SG   P2/m (10)



| no. | uncorrected formation energy (eV per atom) |
| --- | --- |
| 1 | -1.314 |
| 2 | -1.564 |
| 3 | -1.412 |
| 4 | -1.381 |
| 5 | -1.883 |
| 6 | -1.812 |